Mn3V3C (PBE, optimized geometry); DFT formation energy = -0.25 eV per atom; space-group type = No. 227
1.0
6.627 0.000 3.826
2.209 6.248 3.826
0.000 0.000 7.652
Mn V C
12 12 4
Direct
0.832 0.832 0.832
0.418 0.418 0.745
0.418 0.745 0.418
0.745 0.418 0.418
0.832 0.505 0.832
0.505 0.832 0.832
0.832 0.832 0.505
0.418 0.418 0.418
0.625 0.625 0.625
0.625 0.625 0.125
0.625 0.125 0.625
0.125 0.625 0.625
0.059 0.441 0.059
0.191 0.191 0.809
0.809 0.809 0.191
0.809 0.191 0.809
0.809 0.191 0.191
0.191 0.809 0.809
0.441 0.059 0.059
0.059 0.059 0.441
0.441 0.441 0.059
0.059 0.441 0.441
0.191 0.809 0.191
0.441 0.059 0.441
0.125 0.125 0.125
0.125 0.125 0.625
0.125 0.625 0.125
0.625 0.125 0.125